1.
Here is an optimized crystal structure of Cs6Dy21S34Cl from the Alexandria database. Energies are from PBE.

## Properties
Formation energy (no corrections) ... -46.998 kcal/mol of atoms
Raw total energy ... -5.973 eV/atom

Cell: 13.120 13.120 13.127 Å, 114.41 114.41 97.32°
Sites, in units of the cell vectors:
Dy1 0.045 0.463 0.249
Dy2 0.600 0.400 0.500
Dy3 0.463 0.045 0.249
Dy4 0.572 0.172 0.623
Dy5 0.172 0.572 0.623
Dy6 0.302 0.698 0.000
Dy7 0.739 0.535 0.893
Dy8 0.535 0.739 0.893
Dy9 0.828 0.428 0.377
Dy10 0.537 0.955 0.751
Dy11 0.955 0.537 0.751
Dy12 0.244 0.244 0.257
Dy13 0.900 0.100 0.000
Dy14 0.465 0.261 0.107
Dy15 0.698 0.302 0.000
Dy16 0.261 0.465 0.107
Dy17 0.500 0.500 0.000
Dy18 0.756 0.756 0.743
Dy19 0.100 0.900 0.000
Dy20 0.400 0.600 0.500
Dy21 0.428 0.828 0.377
S1 0.393 0.987 0.558
S2 0.213 0.422 0.436
S3 0.274 0.867 0.185
S4 0.575 0.575 0.692
S5 0.881 0.487 0.065
S6 0.290 0.089 0.078
S7 0.013 0.607 0.442
S8 0.987 0.393 0.558
S9 0.726 0.133 0.815
S10 0.911 0.710 0.922
S11 0.449 0.650 0.180
S12 0.632 0.246 0.311
S13 0.487 0.881 0.065
S14 0.578 0.787 0.564
S15 0.318 0.318 0.943
S16 0.422 0.213 0.436
S17 0.133 0.726 0.815
S18 0.368 0.754 0.689
S19 0.350 0.551 0.820
S20 0.941 0.941 0.822
S21 0.089 0.290 0.078
S22 0.246 0.632 0.311
S23 0.607 0.013 0.442
S24 0.650 0.449 0.180
S25 0.710 0.911 0.922
S26 0.119 0.513 0.935
S27 0.551 0.350 0.820
S28 0.867 0.274 0.185
S29 0.754 0.368 0.689
S30 0.513 0.119 0.935
S31 0.787 0.578 0.564
S32 0.682 0.682 0.057
S33 0.059 0.059 0.178
S34 0.425 0.425 0.308
Cs1 0.233 0.233 0.586
Cs2 0.948 0.195 0.730
Cs3 0.767 0.767 0.414
Cs4 0.805 0.052 0.270
Cs5 0.195 0.948 0.730
Cs6 0.052 0.805 0.270
Cl1 0.000 0.000 0.500

2.
Here is an optimized crystal structure of YMgOs2 from the Alexandria database. Energies are from PBE.

## Properties
Raw total energy ... -7.341 eV/atom
Energy of formation ... 0.289 eV/atom

Cell: 4.478 2.885 5.616 Å, 82.13 90.00 90.00°
Sites, in units of the cell vectors:
Os1 0.000 0.532 0.545
Os2 0.000 0.968 0.955
Y1 0.500 0.250 0.250
Mg1 0.500 0.750 0.750